The following is a PBE-GGA calculation of an optimized crystal structure of CdIrOs, from Alexandria via LeMat-Bulk.

Lattice parameters (Å, degrees): 7.687 7.427 2.790 84.65 74.17 21.19
Site moments in Bohr magnetons follow the coordinates.
Fractional coordinates of all 3 atoms:
Ir (0.326, 0.326, 0.674)  0.03
Os (0.675, 0.675, 0.325)  0.41
Cd (0.999, 0.999, 0.001)  0.00

Values from the calculation:
Polymorph energy (0 for the lowest one)   397 meV/atom
Total magnetic moment   0.5 μB/cell
SG   Fmm2, No. 42
Crystal system   orthorhombic
DFT formation energy   0.51 eV/atom